--- a ---
The following is a PBE calculation of a relaxed SmEr2Sb crystal, from Alexandria via LeMat-Bulk.

D(E_F) in states/eV/f.u.: 6.12
Calculated volume in Å³ per atom: 30.01
ρ in g/cm3: 8.4

Unit cell a=6.4734 b=6.4734 c=9.4791 alpha=90.00 beta=90.00 gamma=142.82
Fractional coordinates of all 8 atoms:
Sm1 0.0567 0.9433 0.7500
Sm2 0.9433 0.0567 0.2500
Er1 0.3632 0.6368 0.5445
Er2 0.3632 0.6368 0.9555
Er3 0.6368 0.3632 0.0445
Er4 0.6368 0.3632 0.4555
Sb1 0.2391 0.7609 0.2500
Sb2 0.7609 0.2391 0.7500

---

--- b ---
The following is a PBE calculation of a relaxed SmEr2Sb crystal, from Alexandria via LeMat-Bulk.

D(E_F) in states/eV/f.u.: 4.00
Calculated volume in Å³ per atom: 28.77
ρ in g/cm3: 8.8

Unit cell a=3.9560 b=3.9560 c=7.3524 alpha=90.00 beta=90.00 gamma=90.00
Fractional coordinates of all 4 atoms:
Sm1 0.0000 0.0000 0.0000
Er1 0.5000 0.5000 0.2804
Er2 0.5000 0.5000 0.7196
Sb1 0.0000 0.0000 0.5000

---

--- c ---
The following is a PBE calculation of a relaxed SmEr2Sb crystal, from Alexandria via LeMat-Bulk.

D(E_F) in states/eV/f.u.: 5.16
Calculated volume in Å³ per atom: 29.44
ρ in g/cm3: 8.6

Unit cell a=4.5823 b=4.5493 c=11.5271 alpha=90.00 beta=101.45 gamma=90.00
Fractional coordinates of all 8 atoms:
Sm1 0.1941 0.2500 0.3886
Sm2 0.8059 0.7500 0.6114
Er1 0.0601 0.7500 0.1206
Er2 0.4402 0.7500 0.8800
Er3 0.5598 0.2500 0.1200
Er4 0.9399 0.2500 0.8794
Sb1 0.3361 0.2500 0.6721
Sb2 0.6639 0.7500 0.3279

---

--- d ---
The following is a PBE calculation of a relaxed SmEr2Sb crystal, from Alexandria via LeMat-Bulk.

D(E_F) in states/eV/f.u.: 4.45
Calculated volume in Å³ per atom: 32.66
ρ in g/cm3: 7.7

Unit cell a=9.7763 b=9.7763 c=9.7763 alpha=23.52 beta=23.52 gamma=23.52
Fractional coordinates of all 4 atoms:
Sm1 0.0000 0.0000 0.0000
Er1 0.5666 0.5666 0.5666
Er2 0.7655 0.7655 0.7655
Sb1 0.1656 0.1656 0.1656

---

It is c that is most stable; the runner-up trails by 0.036 eV/atom.

---

--- a ---
The following is a PBE calculation of a relaxed SmEr2Sb crystal, from Alexandria via LeMat-Bulk.

D(E_F) in states/eV/f.u.: 4.81
Calculated volume in Å³ per atom: 27.40
ρ in g/cm3: 9.2

Unit cell a=5.3718 b=5.3718 c=5.3718 alpha=60.00 beta=60.00 gamma=60.00
Fractional coordinates of all 4 atoms:
Sm1 0.0000 0.0000 0.0000
Er1 0.2500 0.2500 0.2500
Er2 0.7500 0.7500 0.7500
Sb1 0.5000 0.5000 0.5000

---

--- b ---
The following is a PBE calculation of a relaxed SmEr2Sb crystal, from Alexandria via LeMat-Bulk.

D(E_F) in states/eV/f.u.: 4.36
Calculated volume in Å³ per atom: 27.45
ρ in g/cm3: 9.2

Unit cell a=4.8059 b=4.8059 c=4.7541 alpha=90.00 beta=90.00 gamma=90.00
Fractional coordinates of all 4 atoms:
Sm1 0.0000 0.0000 0.0000
Er1 0.0000 0.5000 0.5000
Er2 0.5000 0.0000 0.5000
Sb1 0.5000 0.5000 0.0000

---

It is b that is most stable; the runner-up trails by 0.244 eV/atom.